No. 1
This record from Alexandria describes crystalline Sr2GaPtSe at its relaxed geometry. The functional is PBE.

Cell: 5.814 5.814 4.720 Å, 90.00 90.00 90.00°
Space group P4/mmm (No. 123)
One atom of each set of equivalent atoms:
Sr  0.000  0.500  0.000
Ga  0.000  0.000  0.500
Pt  0.000  0.000  0.000
Se  0.500  0.500  0.500

D(E_F): 3.3 states/eV per cell
formation energy from raw total energies: -906 meV/atom


No. 2
This record from Alexandria describes crystalline TbZrSc2S4 at its relaxed geometry. The functional is PBE.

Cell: 6.481 3.743 6.542 Å, 90.00 109.45 90.00°
Space group P2/m (No. 10)
One atom of each set of equivalent atoms:
Tb  0.000  0.000  0.000
Zr  0.500  0.500  0.000
Sc  0.000  0.500  0.500
Sc  0.500  0.000  0.500
S  0.252  0.000  0.739
S  0.261  0.500  0.265

D(E_F): 3.8 states/eV per cell
formation energy from raw total energies: -1766 meV/atom


No. 3
This record from Alexandria describes crystalline UBRu5 at its relaxed geometry. The functional is PBE.

Cell: 3.914 3.914 6.581 Å, 90.00 90.00 90.00°
Space group P4/mmm (No. 123)
One atom of each set of equivalent atoms:
U  0.000  0.000  0.000
B  0.500  0.500  0.500
Ru  0.000  0.500  0.307
Ru  0.500  0.500  0.000

D(E_F): 6.7 states/eV per cell
E_form: -0.045 eV per atom


No. 4
This record from Alexandria describes crystalline LiTl2Hg6 at its relaxed geometry. The functional is PBE.

Cell: 8.9172 8.9172 3.4425 Å, 90.00 90.00 120.00°
Space group P-62m (No. 189)
One atom of each set of equivalent atoms:
Li  0.0000  0.0000  0.0000
Tl  0.3333  0.6667  0.5000
Hg  0.0000  0.3665  0.0000
Hg  0.0000  0.7364  0.5000

D(E_F): 3.3 states/eV per cell
E_form: -0.066 eV per atom


No. 5
This record from Alexandria describes crystalline CuI at its relaxed geometry. The functional is PBE.

Cell: 4.2870 4.2870 42.2835 Å, 90.00 90.00 120.00°
Space group R3m (No. 160, hexagonal axes)
One atom of each set of equivalent atoms:
Cu  0.0000  0.0000  0.0000
Cu  0.0000  0.0000  0.1672
Cu  0.0000  0.0000  0.4168
Cu  0.0000  0.0000  0.5836
I  0.0000  0.0000  0.1047
I  0.0000  0.0000  0.3545
I  0.0000  0.0000  0.5214
I  0.0000  0.0000  0.9379

formation energy from raw total energies: -139 meV/atom